The following is a PBE+U calculation of a geometry-optimized Li3MnCo2O6 structure, from Alexandria via LeMat-Bulk.

CIF file:
```
data_Li3MnCo2O6
_chemical_formula_sum 'Li3 Mn1 Co2 O6'
_cell_length_a 2.8633
_cell_length_b 2.8633
_cell_length_c 14.2734
_cell_angle_alpha 90.00
_cell_angle_beta 90.00
_cell_angle_gamma 120.00
_space_group_name_H-M_alt 'P -3 m 1'
_space_group_IT_number 164
_space_group_name_Hall '-P 3 2"'
loop_
_atom_site_label
_atom_site_type_symbol
_atom_site_fract_x
_atom_site_fract_y
_atom_site_fract_z
Li1 Li 0.0000 0.0000 0.0000
Li2 Li 0.3333 0.6667 0.3295
Mn1 Mn 0.0000 0.0000 0.5000
Co1 Co 0.3333 0.6667 0.8352
O1 O 0.0000 0.0000 0.2365
O2 O 0.3333 0.6667 0.0932
O3 O 0.3333 0.6667 0.5770
```

Summary:
VASP energy: -70.86 eV per cell